(1)
VASP calculation (PBE-GGA) on a relaxed structure of B2HRh5.

Structure (extended XYZ):
```
32
Lattice="8.945 0.000 0.000 0.000 6.069 0.000 0.000 0.000 6.417" Properties=species:S:1:pos:R:3 pbc="T T T"
B 1.779 0.060 0.351
B 1.779 2.974 0.351
B 2.693 3.095 3.559
B 2.693 6.009 3.559
B 6.252 0.060 2.858
B 6.252 2.974 2.858
B 7.165 3.095 6.066
B 7.165 6.009 6.066
H 0.074 4.552 2.974
H 4.398 1.517 6.182
H 4.547 4.552 0.235
H 8.871 1.517 3.443
Rh 0.366 1.517 0.061
Rh 0.725 3.170 4.335
Rh 0.725 5.934 4.335
Rh 1.616 4.552 1.841
Rh 1.820 1.517 2.394
Rh 2.652 4.552 5.602
Rh 2.856 1.517 5.049
Rh 3.747 0.136 1.126
Rh 3.747 2.899 1.126
Rh 4.107 4.552 3.269
Rh 4.838 1.517 3.147
Rh 5.198 3.170 5.290
Rh 5.198 5.934 5.290
Rh 6.089 4.552 1.368
Rh 6.293 1.517 0.815
Rh 7.125 4.552 4.023
Rh 7.329 1.517 4.576
Rh 8.220 0.136 2.082
Rh 8.220 2.899 2.082
Rh 8.579 4.552 6.356
```

## Properties
**E**: -6.814 eV/atom
**Size of the total moment**: 0.000 μB/f.u.
**Space-group type**: Pnma (62)

=====

(2)
VASP calculation (PBE-GGA) on a relaxed structure of BHRh2.

Structure (extended XYZ):
```
4
Lattice="0.000 2.670 2.670 2.670 0.000 2.670 2.670 2.670 0.000" Properties=species:S:1:pos:R:3 pbc="T T T"
B 0.000 0.000 0.000
H 2.670 2.670 2.670
Rh 1.335 1.335 1.335
Rh 4.005 4.005 4.005
```

## Properties
**Size of the total moment**: 0.000 μB/f.u.
**Offset from the most stable computed form**: 385 meV/atom
**Space-group type**: Fm-3m (225)

=====

(3)
VASP calculation (PBE-GGA) on a relaxed structure of BH8Rh6.

Structure (extended XYZ):
```
15
Lattice="2.590 1.495 5.078 -2.590 1.495 5.078 0.000 -2.991 5.078" Properties=species:S:1:pos:R:3 pbc="T T T"
B 0.000 0.000 0.000
H -1.750 0.084 7.059
H -0.947 -1.474 8.174
H 0.000 0.000 5.401
H 0.803 -1.557 7.059
H -0.803 1.557 8.174
H 0.000 0.000 9.832
H 0.947 1.474 7.059
H 1.750 -0.084 8.174
Rh -0.846 -1.497 6.311
Rh -1.719 -0.015 8.922
Rh -0.873 1.481 6.311
Rh 0.873 -1.481 8.922
Rh 1.719 0.015 6.311
Rh 0.846 1.497 8.922
```

## Properties
**E**: -5.205 eV/atom
**Size of the total moment**: 0.000 μB/f.u.
**Space-group type**: R-3 (148)

=====

(4)
VASP calculation (PBE-GGA) on a relaxed structure of B3HRh.

Structure (extended XYZ):
```
5
Lattice="3.295 0.000 0.000 0.000 3.295 0.000 0.000 0.000 3.295" Properties=species:S:1:pos:R:3 pbc="T T T"
B 0.000 0.000 1.648
B 0.000 1.648 0.000
B 1.648 0.000 0.000
H 0.000 0.000 0.000
Rh 1.648 1.648 1.648
```

## Properties
**Size of the total moment**: 0.000 μB/f.u.
**Offset from the most stable computed form**: 0 meV/atom
**Space-group type**: Pm-3m (221)

=====

(5)
VASP calculation (PBE-GGA) on a relaxed structure of BH5Rh4.

Structure (extended XYZ):
```
10
Lattice="5.627 -1.421 0.000 5.627 1.421 0.000 -2.550 0.000 5.135" Properties=species:S:1:pos:R:3 pbc="T T T"
B 0.000 0.000 0.000
H -1.275 0.000 2.568
H 0.910 0.000 4.787
H 2.479 0.000 3.020
H 6.227 0.000 2.115
H 7.796 0.000 0.348
Rh 1.600 0.000 1.321
Rh 4.510 0.000 1.195
Rh 4.195 0.000 3.940
Rh 7.105 0.000 3.814
```

## Properties
**E**: -5.291 eV/atom
**Size of the total moment**: 0.000 μB/f.u.
**Space-group type**: C2/m (12)

=====

(6)
VASP calculation (PBE-GGA) on a relaxed structure of BHRh2.

Structure (extended XYZ):
```
4
Lattice="1.393 0.804 6.300 -1.393 0.804 6.300 0.000 -1.608 6.300" Properties=species:S:1:pos:R:3 pbc="T T T"
B 0.000 0.000 0.000
H 0.000 0.000 9.450
Rh 0.000 0.000 1.899
Rh 0.000 0.000 17.002
```

## Properties
**Size of the total moment**: 0.000 μB/f.u.
**Offset from the most stable computed form**: 447 meV/atom
**Space-group type**: R-3m (166)

=====

(7)
VASP calculation (PBE-GGA) on a relaxed structure of BHRh2.

Structure (extended XYZ):
```
8
Lattice="4.771 0.000 0.000 0.000 2.957 0.000 -1.560 0.000 5.391" Properties=species:S:1:pos:R:3 pbc="T T T"
B 0.109 0.739 1.523
B 3.102 2.217 3.868
H 0.422 0.739 4.433
H 2.789 2.217 0.958
Rh 1.126 2.217 0.362
Rh 0.368 2.217 3.063
Rh 2.843 0.739 2.328
Rh 2.085 0.739 5.028
```

## Properties
**Size of the total moment**: 0.000 μB/f.u.
**Offset from the most stable computed form**: 0 meV/atom
**Space-group type**: P2_1/m (11)

=====

(8)
VASP calculation (PBE-GGA) on a relaxed structure of BH4Rh5.

Structure (extended XYZ):
```
10
Lattice="4.285 0.000 0.000 2.106 4.560 0.000 2.126 0.007 4.560" Properties=species:S:1:pos:R:3 pbc="T T T"
B 0.000 0.000 0.000
H 2.344 0.763 1.882
H 4.475 1.907 3.789
H 4.469 2.663 0.762
H 6.601 3.791 2.652
Rh 2.083 2.717 0.939
Rh 4.210 3.625 2.718
Rh 4.236 4.559 0.001
Rh 4.236 0.942 1.843
Rh 6.363 1.849 3.620
```

## Properties
**E**: -5.723 eV/atom
**Size of the total moment**: 0.000 μB/f.u.
**Space-group type**: P1 (1)

=====

(9)
VASP calculation (PBE-GGA) on a relaxed structure of BH5Rh5.

Structure (extended XYZ):
```
11
Lattice="4.173 0.000 0.000 -2.054 4.539 0.000 -0.056 -1.902 5.302" Properties=species:S:1:pos:R:3 pbc="T T T"
B 0.000 0.000 0.000
H -0.028 -0.951 2.651
H -0.100 1.755 3.646
H 0.163 2.746 1.053
H 1.901 -0.109 4.248
H 2.164 0.882 1.656
Rh -0.012 -0.142 4.250
Rh -0.012 1.067 1.759
Rh 2.087 0.000 0.000
Rh 2.076 1.570 3.543
Rh 2.076 2.779 1.051
```

## Properties
**E**: -5.483 eV/atom
**Size of the total moment**: 0.000 μB/f.u.
**Space-group type**: P-1 (2)

=====

(10)
VASP calculation (PBE-GGA) on a relaxed structure of BHRh3.

Structure (extended XYZ):
```
10
Lattice="5.509 0.000 0.000 0.000 2.867 0.000 -0.044 0.000 6.784" Properties=species:S:1:pos:R:3 pbc="T T T"
B 1.374 0.717 0.493
B 4.090 2.151 6.291
H 0.846 2.151 4.147
H 4.619 0.717 2.637
Rh -0.012 0.717 5.577
Rh 1.427 0.717 3.216
Rh 2.711 0.717 5.590
Rh 2.754 2.151 1.194
Rh 4.038 2.151 3.568
Rh 5.477 2.151 1.207
```

## Properties
**Size of the total moment**: 0.000 μB/f.u.
**Offset from the most stable computed form**: 13 meV/atom
**Space-group type**: P2_1/m (11)

=====

(11)
VASP calculation (PBE-GGA) on a relaxed structure of B2HRh8.

Structure (extended XYZ):
```
11
Lattice="7.006 -1.403 0.000 7.006 1.403 0.000 -0.648 0.000 6.614" Properties=species:S:1:pos:R:3 pbc="T T T"
B 2.362 0.000 1.579
B 11.002 0.000 5.034
H 6.682 0.000 3.307
Rh -0.132 0.000 4.671
Rh 2.454 0.000 5.442
Rh 4.530 0.000 3.488
Rh 5.114 0.000 6.214
Rh 8.250 0.000 0.400
Rh 8.834 0.000 3.126
Rh 10.911 0.000 1.172
Rh 13.496 0.000 1.943
```

## Properties
**E**: -6.963 eV/atom
**Size of the total moment**: 0.011 μB/f.u.
**Space-group type**: C2/m (12)

=====

(12)
VASP calculation (PBE-GGA) on a relaxed structure of BHRh2.

Structure (extended XYZ):
```
4
Lattice="2.814 0.000 0.000 -1.404 2.701 0.000 -1.038 -0.576 5.291" Properties=species:S:1:pos:R:3 pbc="T T T"
B 0.000 0.000 0.000
H 0.182 1.062 2.642
Rh -1.021 1.065 4.032
Rh 1.394 1.060 1.259
```

## Properties
**Size of the total moment**: 0.000 μB/f.u.
**Offset from the most stable computed form**: 75 meV/atom
**Space-group type**: P1 (1)